# NdHo2Ga4 | Alexandria | PBE | optimized geometry
# Calculated formation energy ... -0.652 eV/atom
# Total moment ... 0.000 μB per atom
# E_tot ... -4.371 eV/atom
data_NdHo2Ga4
_chemical_formula_sum 'Nd2 Ho4 Ga8'
_cell_length_a 4.157
_cell_length_b 4.311
_cell_length_c 18.251
_cell_angle_alpha 90.00
_cell_angle_beta 90.00
_cell_angle_gamma 90.00
_symmetry_space_group_name_H-M 'I m m m'
_symmetry_Int_Tables_number 71
_symmetry_space_group_name_Hall '-I 2 2'
loop_
_atom_site_label
_atom_site_type_symbol
_atom_site_fract_x
_atom_site_fract_y
_atom_site_fract_z
_atom_site_occupancy
Nd1 Nd 0.000 0.000 0.000 1
Ho1 Ho 0.000 0.500 0.315 1
Ga1 Ga 0.000 0.000 0.432 1
Ga2 Ga 0.000 0.500 0.148 1

# Li4TlCd5 | Alexandria | PBE | optimized geometry
# Calculated formation energy ... -0.193 eV/atom
# Total moment ... 0.000 μB per atom
# E_tot ... -1.652 eV/atom
data_Li4TlCd5
_chemical_formula_sum 'Li4 Tl1 Cd5'
_cell_length_a 3.375
_cell_length_b 3.375
_cell_length_c 17.662
_cell_angle_alpha 90.00
_cell_angle_beta 90.00
_cell_angle_gamma 90.00
_symmetry_space_group_name_H-M 'P 4/m m m'
_symmetry_Int_Tables_number 123
_symmetry_space_group_name_Hall '-P 4 2'
loop_
_atom_site_label
_atom_site_type_symbol
_atom_site_fract_x
_atom_site_fract_y
_atom_site_fract_z
_atom_site_occupancy
Li1 Li 0.000 0.000 0.092 1
Li2 Li 0.000 0.000 0.275 1
Tl1 Tl 0.000 0.000 0.500 1
Cd1 Cd 0.500 0.500 0.000 1
Cd2 Cd 0.500 0.500 0.183 1
Cd3 Cd 0.500 0.500 0.367 1

# PmTa2TlO7 | Alexandria | PBE | optimized geometry
# Total moment ... 0.000 μB per atom
# Formation energy from raw total energies ... -2709 meV per atom
# E_tot ... -8.666 eV/atom
data_PmTa2TlO7
_chemical_formula_sum 'Pm1 Ta2 Tl1 O7'
_cell_length_a 3.890
_cell_length_b 3.890
_cell_length_c 11.289
_cell_angle_alpha 90.00
_cell_angle_beta 90.00
_cell_angle_gamma 90.00
_symmetry_space_group_name_H-M 'P 4/m m m'
_symmetry_Int_Tables_number 123
_symmetry_space_group_name_Hall '-P 4 2'
loop_
_atom_site_label
_atom_site_type_symbol
_atom_site_fract_x
_atom_site_fract_y
_atom_site_fract_z
_atom_site_occupancy
Pm1 Pm 0.000 0.000 0.000 1
Ta1 Ta 0.500 0.500 0.200 1
Tl1 Tl 0.000 0.000 0.500 1
O1 O 0.000 0.500 0.160 1
O2 O 0.500 0.500 0.000 1
O3 O 0.500 0.500 0.360 1

# CaY2GaC | Alexandria | PBE | optimized geometry
# Calculated formation energy ... -0.275 eV/atom
# Total moment ... 0.000 μB per atom
# E_tot ... -5.711 eV/atom
data_CaY2GaC
_chemical_formula_sum 'Ca1 Y2 Ga1 C1'
_cell_length_a 4.881
_cell_length_b 4.881
_cell_length_c 4.978
_cell_angle_alpha 90.00
_cell_angle_beta 90.00
_cell_angle_gamma 90.00
_symmetry_space_group_name_H-M 'P 4/m m m'
_symmetry_Int_Tables_number 123
_symmetry_space_group_name_Hall '-P 4 2'
loop_
_atom_site_label
_atom_site_type_symbol
_atom_site_fract_x
_atom_site_fract_y
_atom_site_fract_z
_atom_site_occupancy
Ca1 Ca 0.000 0.000 0.000 1
Y1 Y 0.000 0.500 0.500 1
Ga1 Ga 0.500 0.500 0.000 1
C1 C 0.000 0.000 0.500 1

# Nd3GeO2 | Alexandria | PBE | optimized geometry
# Total moment ... 0.000 μB per atom
# Formation energy from raw total energies ... -1980 meV per atom
# E_tot ... -6.786 eV/atom
data_Nd3GeO2
_chemical_formula_sum 'Nd6 Ge2 O4'
_cell_length_a 3.502
_cell_length_b 10.651
_cell_length_c 6.514
_cell_angle_alpha 90.00
_cell_angle_beta 90.00
_cell_angle_gamma 90.00
_symmetry_space_group_name_H-M 'P m c 21'
_symmetry_Int_Tables_number 26
_symmetry_space_group_name_Hall 'P 2c -2'
loop_
_atom_site_label
_atom_site_type_symbol
_atom_site_fract_x
_atom_site_fract_y
_atom_site_fract_z
_atom_site_occupancy
Nd1 Nd 0.000 0.093 0.000 1
Nd2 Nd 0.000 0.316 0.629 1
Nd3 Nd 0.500 0.400 0.129 1
Ge1 Ge 0.500 0.142 0.379 1
O1 O 0.000 0.497 0.380 1
O2 O 0.500 0.241 0.877 1

# CsFeHgPt2 | Alexandria | PBE | optimized geometry
# Calculated formation energy ... 0.444 eV/atom
# Polymorph energy (0 for the lowest one) ... 0 meV/atom
# Total moment ... 0.752 μB per atom
# E_tot ... -3.896 eV/atom
data_CsFeHgPt2
_chemical_formula_sum 'Cs1 Fe1 Hg1 Pt2'
_cell_length_a 4.891
_cell_length_b 4.891
_cell_length_c 5.322
_cell_angle_alpha 90.00
_cell_angle_beta 90.00
_cell_angle_gamma 90.00
_symmetry_space_group_name_H-M 'P 4/m m m'
_symmetry_Int_Tables_number 123
_symmetry_space_group_name_Hall '-P 4 2'
loop_
_atom_site_label
_atom_site_type_symbol
_atom_site_fract_x
_atom_site_fract_y
_atom_site_fract_z
_atom_site_occupancy
Cs1 Cs 0.000 0.000 0.000 1
Fe1 Fe 0.500 0.500 0.500 1
Hg1 Hg 0.500 0.500 0.000 1
Pt1 Pt 0.000 0.500 0.500 1

# CaLu2Zn | Alexandria | PBE | optimized geometry
# Calculated formation energy ... 0.125 eV/atom
# Polymorph energy (0 for the lowest one) ... 225 meV/atom
# Total moment ... 0.000 μB per atom
# E_tot ... -2.954 eV/atom
data_CaLu2Zn
_chemical_formula_sum 'Ca3 Lu6 Zn3'
_cell_length_a 3.5289
_cell_length_b 3.5289
_cell_length_c 32.7903
_cell_angle_alpha 90.00
_cell_angle_beta 90.00
_cell_angle_gamma 120.00
_symmetry_space_group_name_H-M 'R -3 m'
_symmetry_Int_Tables_number 166
_symmetry_space_group_name_Hall '-R 3 2"'
loop_
_atom_site_label
_atom_site_type_symbol
_atom_site_fract_x
_atom_site_fract_y
_atom_site_fract_z
_atom_site_occupancy
Ca1 Ca 0.0000 0.0000 0.0000 1
Lu1 Lu 0.0000 0.0000 0.1018 1
Zn1 Zn 0.0000 0.0000 0.5000 1

# SnPHS | Alexandria | PBE | optimized geometry
# Polymorph energy (0 for the lowest one) ... 236 meV/atom
# Total moment ... 0.000 μB per atom
# E_tot ... -4.077 eV/atom
data_SnPHS
_chemical_formula_sum 'Sn1 P1 H1 S1'
_cell_length_a 3.084
_cell_length_b 5.465
_cell_length_c 4.706
_cell_angle_alpha 90.00
_cell_angle_beta 90.00
_cell_angle_gamma 90.00
_symmetry_space_group_name_H-M 'P m m 2'
_symmetry_Int_Tables_number 25
_symmetry_space_group_name_Hall 'P 2 -2'
loop_
_atom_site_label
_atom_site_type_symbol
_atom_site_fract_x
_atom_site_fract_y
_atom_site_fract_z
_atom_site_occupancy
Sn1 Sn 0.000 0.000 0.000 1
P1 P 0.000 0.500 0.143 1
H1 H 0.000 0.000 0.620 1
S1 S 0.500 0.500 0.457 1

> Which formula does entry 5 have?

Nd3GeO2

Repeat the first record exactly.
# NdHo2Ga4 | Alexandria | PBE | optimized geometry
# Calculated formation energy ... -0.652 eV/atom
# Total moment ... 0.000 μB per atom
# E_tot ... -4.371 eV/atom
data_NdHo2Ga4
_chemical_formula_sum 'Nd2 Ho4 Ga8'
_cell_length_a 4.157
_cell_length_b 4.311
_cell_length_c 18.251
_cell_angle_alpha 90.00
_cell_angle_beta 90.00
_cell_angle_gamma 90.00
_symmetry_space_group_name_H-M 'I m m m'
_symmetry_Int_Tables_number 71
_symmetry_space_group_name_Hall '-I 2 2'
loop_
_atom_site_label
_atom_site_type_symbol
_atom_site_fract_x
_atom_site_fract_y
_atom_site_fract_z
_atom_site_occupancy
Nd1 Nd 0.000 0.000 0.000 1
Ho1 Ho 0.000 0.500 0.315 1
Ga1 Ga 0.000 0.000 0.432 1
Ga2 Ga 0.000 0.500 0.148 1